ThMg2Ni6 | the Alexandria database | PBE-GGA | optimized geometry; SG = Immm, No. 71; N(E_F) = 11.69 states/eV/f.u.; DFT total energy = -5.078 eV/atom; DFT formation energy = -0.04 eV/atom
1.0
-2.060 -1.598 -2.317
4.471 -4.225 -3.687
1.116 -6.982 1.197
Th Mg Ni
1 2 6
Direct
0.500 0.500 0.500 Th
0.368 0.132 0.132 Mg
0.632 0.868 0.868 Mg
0.184 0.506 0.125 Ni
0.816 0.494 0.875 Ni
0.816 0.875 0.494 Ni
0.000 0.181 0.819 Ni
0.000 0.819 0.181 Ni
0.184 0.125 0.506 Ni